[1]
# LaMgIr2 GGA-PBEsol optimized geometry
data_LaMgIr2
_space_group_name_H-M_alt 'P 1'
_space_group_IT_number 1
_space_group_name_Hall 'P 1'
_cell_length_a 5.996
_cell_length_b 5.996
_cell_length_c 5.996
_cell_angle_alpha 151.01
_cell_angle_beta 132.40
_cell_angle_gamma 56.70
loop_
_atom_site_label
_atom_site_type_symbol
_atom_site_fract_x
_atom_site_fract_y
_atom_site_fract_z
La1 La 0.000 0.000 0.000
Mg1 Mg 0.298 0.798 0.500
Ir1 Ir 0.533 0.533 0.000
Ir2 Ir 0.738 0.238 0.500
# ΔH_f (0 K) in kcal/mol of atoms: -4.44
# Uncorrected energy in eV/atom: -6.87
# V in Å³ per cell: 76.65
# Symmetry: No. 44

***

[2]
# SrRuBr GGA-PBEsol optimized geometry
data_SrRuBr
_space_group_name_H-M_alt 'P 1'
_space_group_IT_number 1
_space_group_name_Hall 'P 1'
_cell_length_a 4.602
_cell_length_b 4.602
_cell_length_c 4.602
_cell_angle_alpha 60.00
_cell_angle_beta 60.00
_cell_angle_gamma 60.00
loop_
_atom_site_label
_atom_site_type_symbol
_atom_site_fract_x
_atom_site_fract_y
_atom_site_fract_z
Sr1 Sr 0.000 0.000 0.000
Ru1 Ru 0.750 0.750 0.750
Br1 Br 0.500 0.500 0.500
# Uncorrected energy in eV/atom: -4.24
# Formation energy from raw total energies in meV per atom: 385
# V in Å³ per cell: 68.90
# Excess energy over the best structure of this formula in the dataset in eV/atom: 0.000
# Symmetry: No. 216

***

[3]
# LiSi2Br2 GGA-PBEsol optimized geometry
data_LiSi2Br2
_space_group_name_H-M_alt 'P 1'
_space_group_IT_number 1
_space_group_name_Hall 'P 1'
_cell_length_a 6.474
_cell_length_b 6.474
_cell_length_c 5.277
_cell_angle_alpha 90.00
_cell_angle_beta 90.00
_cell_angle_gamma 90.00
loop_
_atom_site_label
_atom_site_type_symbol
_atom_site_fract_x
_atom_site_fract_y
_atom_site_fract_z
Li1 Li 0.000 0.000 0.000
Li2 Li 0.500 0.500 0.000
Si1 Si 0.219 0.281 0.500
Si2 Si 0.281 0.781 0.500
Si3 Si 0.719 0.219 0.500
Si4 Si 0.781 0.719 0.500
Br1 Br 0.180 0.320 0.000
Br2 Br 0.320 0.820 0.000
Br3 Br 0.680 0.180 0.000
Br4 Br 0.820 0.680 0.000
# Uncorrected energy in eV/atom: -3.42
# Formation energy from raw total energies in meV per atom: 18
# V in Å³ per cell: 221.16
# Symmetry: No. 127

***

Number 2 is which compound? SrRuBr